BaZrV2Pb: optimized geometry, PBE.

Cell: 5.0256 5.0256 5.4202 Å, 90.00 90.00 90.00°
Closest atoms and distances in Å follow each position.
Space group P4/mmm (No. 123)
Symmetry-distinct sites (fractional):
Ba  0.0000  0.0000  0.0000 (multiplicity 1)  4 V 2.51, 2 Zr 2.71
Zr  0.0000  0.0000  0.5000 (multiplicity 1)  2 Ba 2.71
V  0.0000  0.5000  0.0000 (multiplicity 2)  2 Ba 2.51
Pb  0.5000  0.5000  0.5000 (multiplicity 1)  4 Zr 3.55, 8 V 3.70

Results
- total moment (μB/f.u.) = 3.95
- DFT formation energy (meV per atom) = 1965


BaZr2VPb: optimized geometry, PBE.

Cell: 5.0454 5.0454 5.6239 Å, 90.00 90.00 90.00°
Closest atoms and distances in Å follow each position.
Space group P4/mmm (No. 123)
Symmetry-distinct sites (fractional):
Ba  0.0000  0.0000  0.0000 (multiplicity 1)  2 V 2.81
Zr  0.0000  0.5000  0.5000 (multiplicity 2)  2 V 2.52
V  0.0000  0.0000  0.5000 (multiplicity 1)  4 Zr 2.52, 2 Ba 2.81
Pb  0.5000  0.5000  0.0000 (multiplicity 1)  4 Ba 3.57, 8 Zr 3.78

Results
- total moment (μB/f.u.) = 0.00
- DFT formation energy (meV per atom) = 700


Ba2PbW: optimized geometry, PBE.

Cell: 3.8677 3.8677 9.8034 Å, 90.00 90.00 90.00°
Closest atoms and distances in Å follow each position.
Space group P4mm (No. 99)
Symmetry-distinct sites (fractional):
Ba  0.0000  0.0000  0.0000 (multiplicity 1)  1 Pb 3.38, 4 W 3.65
Ba  0.5000  0.5000  0.4198 (multiplicity 1)  1 W 3.28, 4 Pb 3.58
Pb  0.0000  0.0000  0.6550 (multiplicity 1)  4 W 2.90
W  0.5000  0.5000  0.7539 (multiplicity 1)  4 Pb 2.90

Results
- total moment (μB/f.u.) = 0.00
- DFT formation energy (meV per atom) = 649